Record 1
CaHfOs2: optimized geometry, PBE-GGA.

Results
Volume in Å³/cell: 154
E_form in eV/f.u.: -0.11
DOS at the Fermi energy in states/eV per cell: 4.9
Distance to the lowest polymorph of the same formula in meV/atom: 30

POSCAR file:
```
CaHfOs2
1.0
5.408 0.000 0.000
0.000 5.076 0.000
-1.304 0.000 5.617
Ca Hf Os
2 2 4
direct
0.000 0.000 0.000
0.081 0.500 0.285
0.382 0.000 0.639
0.704 0.500 0.634
0.248 0.500 0.792
0.538 0.243 0.142
0.538 0.757 0.142
0.856 0.000 0.502
```

Record 2
SrGeF: optimized geometry, PBE-GGA.

Results
Volume in Å³/cell: 133
Distance to the lowest polymorph of the same formula in meV/atom: 125
ΔE_f (raw) in eV/atom: -2.0621

POSCAR file:
```
SrGeF
1.0
4.042 0.000 0.000
-2.021 3.501 0.000
0.000 0.000 9.432
Sr Ge F
2 2 2
direct
0.333 0.667 0.308
0.667 0.333 0.692
0.333 0.667 0.942
0.667 0.333 0.058
0.333 0.667 0.582
0.667 0.333 0.418
```

Record 3
Mg2AgSnAu4: optimized geometry, PBE-GGA.

Results
Volume in Å³/cell: 152
E_form in eV/f.u.: -2.70
DOS at the Fermi energy in states/eV per cell: 2.4

POSCAR file:
```
Mg2AgSnAu4
1.0
2.347 1.355 7.955
-2.347 1.355 7.955
0.000 -2.710 7.955
Mg Ag Sn Au
2 1 1 4
direct
0.243 0.243 0.243
0.757 0.757 0.757
0.500 0.500 0.500
0.000 0.000 0.000
0.125 0.125 0.125
0.378 0.378 0.378
0.622 0.622 0.622
0.875 0.875 0.875
```

Number 1: density 12.9 g cm⁻³, calculated total energy -8.63 eV per atom. Number 2: density 4.5 g cm⁻³, calculated total energy -4.79 eV per atom. Number 3: density 11.6 g cm⁻³, calculated total energy -3.23 eV per atom.